[1]
TlZnBr2: relaxed, PBE-GGA.

For the energy above the most stable polymorph in this dataset, the calculation gives 38 kJ/mol of formula units. The uncorrected formation energy comes out at -415 meV/atom. The crystal system is monoclinic.

The space group is C2/m (No. 12) and the conventional cell measures 7.927, 4.509 and 7.451 Å, with angles of 90.00, 110.06 and 90.00 degrees. The inequivalent atoms are Tl at (0.000, 0.000, 0.000), Zn at (0.000, 0.500, 0.500) and Br at (0.236, 0.000, 0.706).

[2]
TlZnBr2: relaxed, PBE-GGA.

For the energy above the most stable polymorph in this dataset, the calculation gives 39 kJ/mol of formula units. The uncorrected formation energy comes out at -412 meV/atom. The crystal system is orthorhombic.

The space group is Pmmm (No. 47) and the conventional cell measures 3.945, 4.064 and 7.911 Å, with angles of 90.00, 90.00 and 90.00 degrees. The inequivalent atoms are Tl at (0.000, 0.000, 0.000), Zn at (0.000, 0.500, 0.500) and Br at (0.500, 0.500, 0.255).

[3]
TlZnBr: relaxed, PBE-GGA.

For the energy above the most stable polymorph in this dataset, the calculation gives 10 kJ/mol of formula units. The uncorrected formation energy comes out at -227 meV/atom. The crystal system is cubic.

The space group is F-43m (No. 216) and the conventional cell measures 7.590, 7.590 and 7.590 Å, with angles of 90.00, 90.00 and 90.00 degrees. The inequivalent atoms are Tl at (0.000, 0.000, 0.000), Zn at (0.250, 0.250, 0.750) and Br at (0.250, 0.250, 0.250).

[4]
TlZn3Br: relaxed, PBE-GGA.

For the energy above the most stable polymorph in this dataset, the calculation gives 0 kJ/mol of formula units. The uncorrected formation energy comes out at 212 meV/atom. The crystal system is cubic.

The space group is Pm-3m (No. 221) and the conventional cell measures 5.221, 5.221 and 5.221 Å, with angles of 90.00, 90.00 and 90.00 degrees. The inequivalent atoms are Tl at (0.000, 0.000, 0.000), Zn at (0.000, 0.000, 0.500) and Br at (0.500, 0.500, 0.500).